1.
## SrRuSeN2 (PBE)

Data for a relaxed SrRuSeN2 crystal.

```
data_SrRuSeN2
_chemical_formula_sum 'Sr1 Ru1 Se1 N2'
_space_group_name_H-M_alt 'P 4/m m m'
_space_group_IT_number 123
_space_group_name_Hall '-P 4 2'
_cell_length_a 4.669
_cell_length_b 4.669
_cell_length_c 6.237
_cell_angle_alpha 90.00
_cell_angle_beta 90.00
_cell_angle_gamma 90.00
loop_
_atom_site_label
_atom_site_type_symbol
_atom_site_fract_x
_atom_site_fract_y
_atom_site_fract_z
Sr1 Sr 0.000 0.000 0.000
Ru1 Ru 0.500 0.500 0.500
Se1 Se 0.000 0.000 0.500
N1 N 0.000 0.500 0.000
```

Calculated values
Energy relative to the lowest polymorph listed for this composition = 2042 meV per atom
Total DFT energy (no corrections) = -4.146 eV per atom

=====

2.
## SrRuSeN2 (PBE)

Data for a relaxed SrRuSeN2 crystal.

```
data_SrRuSeN2
_chemical_formula_sum 'Sr1 Ru1 Se1 N2'
_space_group_name_H-M_alt 'P 4/m m m'
_space_group_IT_number 123
_space_group_name_Hall '-P 4 2'
_cell_length_a 4.296
_cell_length_b 4.296
_cell_length_c 4.520
_cell_angle_alpha 90.00
_cell_angle_beta 90.00
_cell_angle_gamma 90.00
loop_
_atom_site_label
_atom_site_type_symbol
_atom_site_fract_x
_atom_site_fract_y
_atom_site_fract_z
Sr1 Sr 0.000 0.000 0.000
Ru1 Ru 0.500 0.500 0.000
Se1 Se 0.500 0.500 0.500
N1 N 0.000 0.500 0.500
```

Calculated values
Energy relative to the lowest polymorph listed for this composition = 1183 meV per atom
Total DFT energy (no corrections) = -5.004 eV per atom

=====

| no. | calculated volume (Å³/cell) |
| --- | --- |
| 1 | 136.0 |
| 2 | 83.4 |